Density functional theory data (GGA-PBE) for a relaxed structure of TiAlCl3.

Energy relative to the elements, uncorrected ... -0.24 eV/atom
D(E_F) ... 8.53 states/eV/f.u.

Cell: 4.939 4.939 4.939 Å, 90.00 90.00 90.00°
Space group Pm-3m (No. 221)
Asymmetric unit:
Ti 0.000 0.000 0.000
Al 0.500 0.500 0.500
Cl 0.000 0.500 0.500

Density functional theory data (GGA-PBE) for a relaxed structure of KLa2Rh.

ΔE_f ... -0.196 eV per atom
D(E_F) ... 4.10 states/eV/f.u.

Cell: 4.202 4.028 9.690 Å, 90.00 102.40 90.00°
Space group Pm (No. 6)
Asymmetric unit:
K 0.000 0.000 0.000
La 0.317 0.500 0.637
La 0.683 0.000 0.364
Rh 0.182 0.500 0.360

Density functional theory data (GGA-PBE) for a relaxed structure of PmSmEr2As4.

ΔE_f ... -1.519 eV per atom
D(E_F) ... 0.91 states/eV/f.u.

Cell: 7.192 4.158 7.198 Å, 90.00 109.48 90.00°
Space group P2/m (No. 10)
Asymmetric unit:
Pm 0.000 0.000 0.000
Sm 0.000 0.500 0.500
Er 0.500 0.000 0.500
Er 0.500 0.500 0.000
As 0.259 0.000 0.752
As 0.259 0.500 0.254

Density functional theory data (GGA-PBE) for a relaxed structure of CrMo2RuN.

Energy relative to the elements, uncorrected ... -0.12 eV/atom
D(E_F) ... 4.40 states/eV/f.u.

Cell: 4.095 4.095 3.856 Å, 90.00 90.00 90.00°
Space group P4/mmm (No. 123)
Asymmetric unit:
Cr 0.000 0.000 0.000
Mo 0.000 0.500 0.500
Ru 0.500 0.500 0.000
N 0.000 0.000 0.500

Density functional theory data (GGA-PBE) for a relaxed structure of Be2HgRuC.

ΔE_f ... 2.005 eV per atom
D(E_F) ... 2.91 states/eV/f.u.

Cell: 4.113 4.113 5.206 Å, 90.00 90.00 90.00°
Space group P4/mmm (No. 123)
Asymmetric unit:
Be 0.000 0.500 0.000
Hg 0.000 0.000 0.500
Ru 0.000 0.000 0.000
C 0.500 0.500 0.500

Density functional theory data (GGA-PBE) for a relaxed structure of Ta2MnTc.

ΔE_f ... 0.037 eV per atom
D(E_F) ... 4.41 states/eV/f.u.

Cell: 2.843 2.843 7.773 Å, 90.00 90.00 90.00°
Space group P4mm (No. 99)
Asymmetric unit:
Ta 0.000 0.000 0.000
Ta 0.500 0.500 0.296
Mn 0.500 0.500 0.752
Tc 0.000 0.000 0.574

Density functional theory data (GGA-PBE) for a relaxed structure of Pa2InRh8.

ΔE_f ... -0.517 eV per atom
D(E_F) ... 10.88 states/eV/f.u.

Cell: 14.679 4.184 6.382 Å, 90.00 107.73 90.00°
Space group C2/m (No. 12)
Asymmetric unit:
Pa 0.200 0.000 0.154
In 0.000 0.500 0.500
Rh 0.037 0.000 0.239
Rh 0.090 0.500 0.956
Rh 0.152 0.000 0.712
Rh 0.177 0.500 0.419

Density functional theory data (GGA-PBE) for a relaxed structure of SrMgOF2.

Energy relative to the elements, uncorrected ... -2.09 eV/atom
D(E_F) ... 1.04 states/eV/f.u.

Cell: 4.514 4.514 4.865 Å, 90.00 90.00 90.00°
Space group P4/mmm (No. 123)
Asymmetric unit:
Sr 0.000 0.000 0.000
Mg 0.500 0.500 0.500
O 0.000 0.000 0.500
F 0.000 0.500 0.000

Density functional theory data (GGA-PBE) for a relaxed structure of Sm2AgPd5.

ΔE_f ... -0.544 eV per atom
D(E_F) ... 4.35 states/eV/f.u.

Cell: 5.082 5.082 11.879 Å, 90.00 90.00 90.00°
Space group I4/mmm (No. 139)
Asymmetric unit:
Sm 0.000 0.000 0.244
Ag 0.000 0.000 0.500
Pd 0.000 0.000 0.000
Pd 0.000 0.500 0.119

Density functional theory data (GGA-PBE) for a relaxed structure of Ta2MnCr.

ΔE_f ... 0.047 eV per atom
D(E_F) ... 3.61 states/eV/f.u.

Cell: 3.809 4.304 7.264 Å, 90.00 90.00 90.00°
Space group Cmm2 (No. 35)
Asymmetric unit:
Ta 0.000 0.000 0.000
Ta 0.000 0.500 0.316
Mn 0.000 0.500 0.744
Cr 0.000 0.000 0.576

Density functional theory data (GGA-PBE) for a relaxed structure of RbSrZn3.

ΔE_f ... 0.609 eV per atom
D(E_F) ... 3.01 states/eV/f.u.

Cell: 5.919 5.919 5.919 Å, 90.00 90.00 90.00°
Space group Pm-3m (No. 221)
Asymmetric unit:
Rb 0.000 0.000 0.000
Sr 0.500 0.500 0.500
Zn 0.000 0.000 0.500

Density functional theory data (GGA-PBE) for a relaxed structure of PrTh2WN5.

Energy relative to the elements, uncorrected ... -1.13 eV/atom

Cell: 6.881 6.881 5.936 Å, 90.00 90.00 90.00°
Space group P4/mbm (No. 127)
Asymmetric unit:
Pr 0.000 0.000 0.000
Th 0.172 0.328 0.500
W 0.000 0.500 0.000
N 0.000 0.000 0.500
N 0.142 0.642 0.236

Density functional theory data (GGA-PBE) for a relaxed structure of Ce3SmSn5.

ΔE_f ... -0.601 eV per atom
D(E_F) ... 15.76 states/eV/f.u.

Cell: 9.4769 9.4769 6.4946 Å, 90.00 90.00 120.00°
Space group P6_3/mcm (No. 193)
Asymmetric unit:
Ce 0.0000 0.3818 0.2500
Sm 0.0000 0.0000 0.0000
Sn 0.0000 0.2881 0.7500
Sn 0.3333 0.6667 0.0000

Density functional theory data (GGA-PBE) for a relaxed structure of UCuPS.

Energy relative to the elements, uncorrected ... -0.73 eV/atom
D(E_F) ... 6.21 states/eV/f.u.

Cell: 4.006 4.006 8.580 Å, 90.00 90.00 90.00°
Space group P4/nmm (No. 129, origin choice 2)
Asymmetric unit:
U 0.250 0.250 0.212
Cu 0.250 0.750 0.500
P 0.250 0.250 0.662
S 0.250 0.750 0.000

Density functional theory data (GGA-PBE) for a relaxed structure of MgGeSeN2.

Energy relative to the elements, uncorrected ... 1.16 eV/atom
D(E_F) ... 1.64 states/eV/f.u.

Cell: 4.113 4.113 5.441 Å, 90.00 90.00 90.00°
Space group P4/mmm (No. 123)
Asymmetric unit:
Mg 0.000 0.000 0.000
Ge 0.500 0.500 0.500
Se 0.000 0.000 0.500
N 0.000 0.500 0.000

Density functional theory data (GGA-PBE) for a relaxed structure of Ca2ZrSe2O2.

Energy relative to the elements, uncorrected ... -2.44 eV/atom
D(E_F) ... 0.00 states/eV/f.u.

Cell: 4.183 4.183 15.733 Å, 90.00 90.00 90.00°
Space group I4/mmm (No. 139)
Asymmetric unit:
Ca 0.000 0.000 0.129
Zr 0.000 0.000 0.500
Se 0.000 0.000 0.327
O 0.000 0.500 0.000

Density functional theory data (GGA-PBE) for a relaxed structure of Tl12Te5Cl2.

Energy relative to the elements, uncorrected ... -0.40 eV/atom

Cell: 21.015 7.953 8.706 Å, 90.00 104.08 90.00°
Space group C2/m (No. 12)
Asymmetric unit:
Tl 0.015 0.000 0.256
Tl 0.086 0.500 0.358
Tl 0.126 0.221 0.002
Tl 0.196 0.270 0.668
Te 0.000 0.500 0.000
Te 0.174 0.000 0.354
Te 0.234 0.500 0.078
Cl 0.000 0.254 0.500

Density functional theory data (GGA-PBE) for a relaxed structure of La8SbRu3I4.

Energy relative to the elements, uncorrected ... -0.86 eV/atom
D(E_F) ... 12.86 states/eV/f.u.

Cell: 8.7457 8.7457 24.3403 Å, 90.00 90.00 120.00°
Space group R-3m (No. 166, hexagonal axes)
Asymmetric unit:
La 0.0000 0.0000 0.2320
La 0.0297 0.5148 0.7715
Sb 0.0000 0.0000 0.5000
Ru 0.0000 0.5000 0.5000
I 0.0000 0.0000 0.0000
I 0.0000 0.5000 0.0000

Density functional theory data (GGA-PBE) for a relaxed structure of GeHPdRh2.

D(E_F) ... 3.22 states/eV/f.u.
Calculated total energy ... -29.07 eV for the cell shown

Cell: 3.967 3.967 3.866 Å, 90.00 90.00 90.00°
Space group P4/mmm (No. 123)
Asymmetric unit:
Ge 0.000 0.000 0.000
H 0.500 0.500 0.500
Pd 0.500 0.500 0.000
Rh 0.000 0.500 0.500

Density functional theory data (GGA-PBE) for a relaxed structure of Ca3Ga2Ge2.

ΔE_f ... -0.560 eV per atom
D(E_F) ... 2.66 states/eV/f.u.

Cell: 11.056 4.394 7.787 Å, 90.00 114.68 90.00°
Space group C2/m (No. 12)
Asymmetric unit:
Ca 0.000 0.000 0.000
Ca 0.179 0.000 0.630
Ga 0.191 0.500 0.933
Ge 0.031 0.500 0.348

The total magnetic moment results, record by record, are as follows: 2.98, 0.01, 0.00, 0.98, 1.16, 0.00, 0.00, 0.06, 0.00, 0.00, 0.00, 0.00, 2.63, 3.91, 3.91, 0.00, 0.00, 0.02, 0.00, 0.00 Bohr magnetons per cell.